Record 1
Computed, not measured: a relaxed structure of Mg2CdPb4 at the PBE level of DFT.

Values from the calculation:
Total magnetic moment ... 0.0 Bohr magnetons per cell
Energy relative to the lowest polymorph listed for this composition ... 0 meV per atom
Space group ... R-3m, No. 166
ρ ... 7.9 Mg/m³
V ... 208 Å³/f.u.
E_form ... 0.4 eV/f.u.
E_tot ... -0.0976 Ha/atom
Fermi-level density of states ... 2.8 states/eV per cell

Structure (POSCAR):
```
Mg2CdPb4
1.0
2.439 1.408 10.116
-2.439 1.408 10.116
0.000 -2.816 10.116
Mg Cd Pb
2 1 4
direct
0.096 0.096 0.096
0.904 0.904 0.904
0.000 0.000 0.000
0.197 0.197 0.197
0.379 0.379 0.379
0.621 0.621 0.621
0.803 0.803 0.803
```


Record 2
Computed, not measured: a relaxed structure of Mg2CdPb3 at the PBE level of DFT.

Values from the calculation:
Total magnetic moment ... 0.0 Bohr magnetons per cell
Energy relative to the lowest polymorph listed for this composition ... 9 meV per atom
Space group ... Cmmm, No. 65
ρ ... 8.1 Mg/m³
V ... 161 Å³/f.u.
E_form ... 0.0 eV/f.u.
E_tot ... -0.0935 Ha/atom
Fermi-level density of states ... 4.0 states/eV per cell

Structure (POSCAR):
```
Mg2CdPb3
1.0
2.747 -8.289 0.000
2.747 8.289 0.000
0.000 0.000 7.063
Mg Cd Pb
4 2 6
direct
0.000 0.000 0.000
0.000 0.000 0.500
0.329 0.671 0.000
0.671 0.329 0.000
0.332 0.668 0.500
0.668 0.332 0.500
0.164 0.836 0.249
0.164 0.836 0.751
0.500 0.500 0.248
0.500 0.500 0.752
0.836 0.164 0.249
0.836 0.164 0.751
```


Record 3
Computed, not measured: a relaxed structure of Mg5Cd2Pd2Pb at the PBE level of DFT.

Values from the calculation:
Total magnetic moment ... 0.0 Bohr magnetons per cell
Space group ... P4/mbm, No. 127
ρ ... 5.9 Mg/m³
V ... 217 Å³/f.u.
E_form ... -2.7 eV/f.u.
E_tot ... -0.0976 Ha/atom
Fermi-level density of states ... 8.6 states/eV per cell

Structure (POSCAR):
```
Mg5Cd2Pd2Pb
1.0
10.865 0.000 0.000
0.000 10.865 0.000
0.000 0.000 3.668
Mg Cd Pd Pb
10 4 4 2
direct
0.000 0.500 0.000
0.085 0.209 0.000
0.209 0.915 0.000
0.291 0.415 0.000
0.415 0.709 0.000
0.500 0.000 0.000
0.585 0.291 0.000
0.709 0.585 0.000
0.791 0.085 0.000
0.915 0.791 0.000
0.168 0.668 0.500
0.332 0.168 0.500
0.668 0.832 0.500
0.832 0.332 0.500
0.125 0.375 0.500
0.375 0.875 0.500
0.625 0.125 0.500
0.875 0.625 0.500
0.000 0.000 0.500
0.500 0.500 0.500
```


Record 4
Computed, not measured: a relaxed structure of PmMgCdPb at the PBE level of DFT.

Values from the calculation:
Total magnetic moment ... 0.0 Bohr magnetons per cell
Energy relative to the lowest polymorph listed for this composition ... 0 meV per atom
Space group ... Pmmm, No. 47
ρ ... 7.8 Mg/m³
V ... 104 Å³/f.u.
E_form ... -1.5 eV/f.u.
E_tot ... -0.1143 Ha/atom
Fermi-level density of states ... 1.7 states/eV per cell

Structure (POSCAR):
```
PmMgCdPb
1.0
4.513 0.000 0.000
0.000 4.694 0.000
0.000 0.000 4.925
Pm Mg Cd Pb
1 1 1 1
direct
0.000 0.000 0.000
0.000 0.500 0.500
0.500 0.000 0.500
0.500 0.500 0.000
```